(1)
## Li4MgZr (PBE-GGA)

Data for a geometry-optimized Li4MgZr structure.

The structure in CIF format:
```
data_Li4MgZr
_cell_length_a 5.423
_cell_length_b 5.423
_cell_length_c 5.423
_cell_angle_alpha 60.00
_cell_angle_beta 60.00
_cell_angle_gamma 60.00
_symmetry_space_group_name_H-M 'P 1'
_symmetry_Int_Tables_number 1
_symmetry_space_group_name_Hall 'P 1'
loop_
_atom_site_label
_atom_site_type_symbol
_atom_site_fract_x
_atom_site_fract_y
_atom_site_fract_z
Li1 Li 0.875 0.375 0.375
Li2 Li 0.375 0.375 0.875
Li3 Li 0.375 0.875 0.375
Li4 Li 0.375 0.375 0.375
Mg1 Mg 0.750 0.750 0.750
Zr1 Zr 0.000 0.000 0.000
```

Output
The formation energy comes out at 0.20 eV/atom. As for the space group: F-43m.



(2)
## Li2MgZr (PBE-GGA)

Data for a geometry-optimized Li2MgZr structure.

The structure in CIF format:
```
data_Li2MgZr
_cell_length_a 3.002
_cell_length_b 3.002
_cell_length_c 9.197
_cell_angle_alpha 90.00
_cell_angle_beta 90.00
_cell_angle_gamma 90.00
_symmetry_space_group_name_H-M 'P 1'
_symmetry_Int_Tables_number 1
_symmetry_space_group_name_Hall 'P 1'
loop_
_atom_site_label
_atom_site_type_symbol
_atom_site_fract_x
_atom_site_fract_y
_atom_site_fract_z
Li1 Li 0.000 0.000 0.014
Li2 Li 0.500 0.500 0.248
Mg1 Mg 0.000 0.000 0.489
Zr1 Zr 0.500 0.500 0.749
```

Output
The formation energy comes out at 0.10 eV/atom. As for the space group: P4mm.



(3)
## LiMgZr (PBE-GGA)

Data for a geometry-optimized LiMgZr structure.

The structure in CIF format:
```
data_LiMgZr
_cell_length_a 7.089
_cell_length_b 7.089
_cell_length_c 7.089
_cell_angle_alpha 155.25
_cell_angle_beta 155.25
_cell_angle_gamma 35.28
_symmetry_space_group_name_H-M 'P 1'
_symmetry_Int_Tables_number 1
_symmetry_space_group_name_Hall 'P 1'
loop_
_atom_site_label
_atom_site_type_symbol
_atom_site_fract_x
_atom_site_fract_y
_atom_site_fract_z
Li1 Li 0.005 0.005 0.000
Mg1 Mg 0.661 0.661 0.000
Zr1 Zr 0.334 0.334 0.000
```

Output
The formation energy comes out at 0.13 eV/atom. As for the space group: I4mm.



(4)
## LiMg5Zr2 (PBE-GGA)

Data for a geometry-optimized LiMg5Zr2 structure.

The structure in CIF format:
```
data_LiMg5Zr2
_cell_length_a 4.443
_cell_length_b 4.442
_cell_length_c 9.425
_cell_angle_alpha 103.66
_cell_angle_beta 103.63
_cell_angle_gamma 90.00
_symmetry_space_group_name_H-M 'P 1'
_symmetry_Int_Tables_number 1
_symmetry_space_group_name_Hall 'P 1'
loop_
_atom_site_label
_atom_site_type_symbol
_atom_site_fract_x
_atom_site_fract_y
_atom_site_fract_z
Li1 Li 0.000 0.000 0.000
Mg1 Mg 0.500 0.500 0.000
Mg2 Mg 0.377 0.878 0.755
Mg3 Mg 0.877 0.378 0.755
Mg4 Mg 0.623 0.122 0.245
Mg5 Mg 0.123 0.622 0.245
Zr1 Zr 0.750 0.750 0.500
Zr2 Zr 0.250 0.250 0.500
```

Output
The formation energy comes out at 0.00 eV/atom. As for the space group: I4/mmm.



(5)
## LiMgZr (PBE-GGA)

Data for a geometry-optimized LiMgZr structure.

The structure in CIF format:
```
data_LiMgZr
_cell_length_a 4.713
_cell_length_b 4.713
_cell_length_c 4.713
_cell_angle_alpha 60.00
_cell_angle_beta 60.00
_cell_angle_gamma 60.00
_symmetry_space_group_name_H-M 'P 1'
_symmetry_Int_Tables_number 1
_symmetry_space_group_name_Hall 'P 1'
loop_
_atom_site_label
_atom_site_type_symbol
_atom_site_fract_x
_atom_site_fract_y
_atom_site_fract_z
Li1 Li 0.500 0.500 0.500
Mg1 Mg 0.750 0.750 0.750
Zr1 Zr 0.000 0.000 0.000
```

Output
The formation energy comes out at 0.82 eV/atom. As for the space group: F-43m.



(6)
## Li2MgZr (PBE-GGA)

Data for a geometry-optimized Li2MgZr structure.

The structure in CIF format:
```
data_Li2MgZr
_cell_length_a 7.452
_cell_length_b 7.452
_cell_length_c 6.047
_cell_angle_alpha 51.96
_cell_angle_beta 51.96
_cell_angle_gamma 90.00
_symmetry_space_group_name_H-M 'P 1'
_symmetry_Int_Tables_number 1
_symmetry_space_group_name_Hall 'P 1'
loop_
_atom_site_label
_atom_site_type_symbol
_atom_site_fract_x
_atom_site_fract_y
_atom_site_fract_z
Mg1 Mg 0.500 0.500 0.000
Mg2 Mg 0.250 0.750 0.500
Zr1 Zr 0.000 0.000 0.000
Zr2 Zr 0.750 0.250 0.500
Li1 Li 0.607 0.125 0.250
Li2 Li 0.143 0.625 0.250
Li3 Li 0.375 0.393 0.750
Li4 Li 0.875 0.857 0.750
```

Output
The formation energy comes out at 0.51 eV/atom. As for the space group: I-42d.



(7)
## LiMgZr (PBE-GGA)

Data for a geometry-optimized LiMgZr structure.

The structure in CIF format:
```
data_LiMgZr
_cell_length_a 4.805
_cell_length_b 4.805
_cell_length_c 4.805
_cell_angle_alpha 60.00
_cell_angle_beta 60.00
_cell_angle_gamma 60.00
_symmetry_space_group_name_H-M 'P 1'
_symmetry_Int_Tables_number 1
_symmetry_space_group_name_Hall 'P 1'
loop_
_atom_site_label
_atom_site_type_symbol
_atom_site_fract_x
_atom_site_fract_y
_atom_site_fract_z
Li1 Li 0.000 0.000 0.000
Mg1 Mg 0.500 0.500 0.500
Zr1 Zr 0.750 0.750 0.750
```

Output
The formation energy comes out at 0.98 eV/atom. As for the space group: F-43m.



(8)
## Li2Mg2Zr3 (PBE-GGA)

Data for a geometry-optimized Li2Mg2Zr3 structure.

The structure in CIF format:
```
data_Li2Mg2Zr3
_cell_length_a 16.155
_cell_length_b 16.155
_cell_length_c 3.124
_cell_angle_alpha 90.00
_cell_angle_beta 90.00
_cell_angle_gamma 168.76
_symmetry_space_group_name_H-M 'P 1'
_symmetry_Int_Tables_number 1
_symmetry_space_group_name_Hall 'P 1'
loop_
_atom_site_label
_atom_site_type_symbol
_atom_site_fract_x
_atom_site_fract_y
_atom_site_fract_z
Li1 Li 0.288 0.712 0.500
Li2 Li 0.712 0.288 0.500
Mg1 Mg 0.144 0.856 0.000
Mg2 Mg 0.856 0.144 0.000
Zr1 Zr 0.429 0.571 0.500
Zr2 Zr 0.571 0.429 0.500
Zr3 Zr 0.000 0.000 0.000
```

Output
The formation energy comes out at 0.01 eV/atom. As for the space group: Cmmm.



(9)
## LiMg6Zr (PBE-GGA)

Data for a geometry-optimized LiMg6Zr structure.

The structure in CIF format:
```
data_LiMg6Zr
_cell_length_a 4.673
_cell_length_b 4.673
_cell_length_c 8.047
_cell_angle_alpha 90.00
_cell_angle_beta 90.00
_cell_angle_gamma 90.00
_symmetry_space_group_name_H-M 'P 1'
_symmetry_Int_Tables_number 1
_symmetry_space_group_name_Hall 'P 1'
loop_
_atom_site_label
_atom_site_type_symbol
_atom_site_fract_x
_atom_site_fract_y
_atom_site_fract_z
Li1 Li 0.000 0.000 0.000
Mg1 Mg 0.500 0.500 0.000
Mg2 Mg 0.500 0.500 0.500
Mg3 Mg 0.500 0.000 0.245
Mg4 Mg 0.500 0.000 0.755
Mg5 Mg 0.000 0.500 0.245
Mg6 Mg 0.000 0.500 0.755
Zr1 Zr 0.000 0.000 0.500
```

Output
The formation energy comes out at 0.02 eV/atom. As for the space group: P4/mmm.



(10)
## Li2MgZr (PBE-GGA)

Data for a geometry-optimized Li2MgZr structure.

The structure in CIF format:
```
data_Li2MgZr
_cell_length_a 3.030
_cell_length_b 5.342
_cell_length_c 5.228
_cell_angle_alpha 90.00
_cell_angle_beta 90.00
_cell_angle_gamma 90.00
_symmetry_space_group_name_H-M 'P 1'
_symmetry_Int_Tables_number 1
_symmetry_space_group_name_Hall 'P 1'
loop_
_atom_site_label
_atom_site_type_symbol
_atom_site_fract_x
_atom_site_fract_y
_atom_site_fract_z
Li1 Li 0.000 0.000 0.000
Li2 Li 0.500 0.500 0.000
Mg1 Mg 0.500 0.000 0.500
Zr1 Zr 0.000 0.500 0.500
```

Output
The formation energy comes out at 0.22 eV/atom. As for the space group: Pmmm.



(11)
## Li2MgZr (PBE-GGA)

Data for a geometry-optimized Li2MgZr structure.

The structure in CIF format:
```
data_Li2MgZr
_cell_length_a 2.944
_cell_length_b 2.944
_cell_length_c 10.648
_cell_angle_alpha 90.00
_cell_angle_beta 90.00
_cell_angle_gamma 114.21
_symmetry_space_group_name_H-M 'P 1'
_symmetry_Int_Tables_number 1
_symmetry_space_group_name_Hall 'P 1'
loop_
_atom_site_label
_atom_site_type_symbol
_atom_site_fract_x
_atom_site_fract_y
_atom_site_fract_z
Li1 Li 0.000 0.000 0.002
Li2 Li 0.000 0.000 0.498
Mg1 Mg 0.500 0.500 0.250
Zr1 Zr 0.500 0.500 0.750
```

Output
The formation energy comes out at 0.11 eV/atom. As for the space group: Cmmm.



(12)
## Li2MgZr (PBE-GGA)

Data for a geometry-optimized Li2MgZr structure.

The structure in CIF format:
```
data_Li2MgZr
_cell_length_a 6.041
_cell_length_b 6.041
_cell_length_c 6.041
_cell_angle_alpha 151.66
_cell_angle_beta 129.87
_cell_angle_gamma 58.58
_symmetry_space_group_name_H-M 'P 1'
_symmetry_Int_Tables_number 1
_symmetry_space_group_name_Hall 'P 1'
loop_
_atom_site_label
_atom_site_type_symbol
_atom_site_fract_x
_atom_site_fract_y
_atom_site_fract_z
Li1 Li 0.973 0.973 0.000
Li2 Li 0.756 0.256 0.500
Mg1 Mg 0.522 0.522 0.000
Zr1 Zr 0.248 0.748 0.500
```

Output
The formation energy comes out at 0.22 eV/atom. As for the space group: Imm2.